No. 1
The following is a DFT calculation (PBE-GGA) of a relaxed structure of TiTl3Pd2Se6.

Properties
formation energy from raw total energies	-5.559	eV per formula unit
symmetry	C2/m (12)
raw total energy	-51.8	eV/f.u.

Cell lengths 6.687, 6.687, 7.786 Å; angles 98.04, 98.04, 119.93 degrees
Fractional coordinates of all 12 atoms:
Ti (0.000, 0.000, 0.000)
Tl (0.165, 0.835, 0.500)
Tl (0.835, 0.165, 0.500)
Tl (0.500, 0.500, 0.500)
Pd (0.334, 0.666, 0.000)
Pd (0.666, 0.334, 0.000)
Se (0.940, 0.608, 0.816)
Se (0.730, 0.730, 0.182)
Se (0.060, 0.392, 0.184)
Se (0.608, 0.940, 0.816)
Se (0.270, 0.270, 0.818)
Se (0.392, 0.060, 0.184)



No. 2
The following is a DFT calculation (PBE-GGA) of a relaxed structure of TlPd2Se.

Properties
formation energy from raw total energies	-1.064	eV per formula unit
polymorph energy (0 for the lowest one)	0	meV/atom
symmetry	Pnma (62)
raw total energy	-17.3	eV/f.u.

Cell lengths 4.083, 6.768, 11.891 Å; angles 90.00, 90.00, 90.00 degrees
Fractional coordinates of all 16 atoms:
Tl (0.750, 0.747, 0.659)
Tl (0.250, 0.753, 0.159)
Tl (0.250, 0.253, 0.341)
Tl (0.750, 0.247, 0.841)
Pd (0.750, 0.121, 0.536)
Pd (0.250, 0.379, 0.036)
Pd (0.250, 0.879, 0.464)
Pd (0.750, 0.621, 0.964)
Pd (0.750, 0.472, 0.224)
Pd (0.250, 0.028, 0.724)
Pd (0.250, 0.528, 0.776)
Pd (0.750, 0.972, 0.276)
Se (0.750, 0.681, 0.404)
Se (0.250, 0.819, 0.904)
Se (0.250, 0.319, 0.596)
Se (0.750, 0.181, 0.096)



No. 3
The following is a DFT calculation (PBE-GGA) of a relaxed structure of TlPd2Se2.

Properties
formation energy from raw total energies	-0.353	eV per formula unit
symmetry	P4/mbm (127)
raw total energy	-20.1	eV/f.u.

Cell lengths 7.926, 7.926, 3.130 Å; angles 90.00, 90.00, 90.00 degrees
Fractional coordinates of all 10 atoms:
Tl (0.000, 0.000, 0.000)
Tl (0.500, 0.500, 0.000)
Se (0.155, 0.655, 0.500)
Se (0.655, 0.845, 0.500)
Se (0.845, 0.345, 0.500)
Se (0.345, 0.155, 0.500)
Pd (0.359, 0.859, 0.000)
Pd (0.859, 0.641, 0.000)
Pd (0.641, 0.141, 0.000)
Pd (0.141, 0.359, 0.000)



No. 4
The following is a DFT calculation (PBE-GGA) of a relaxed structure of TlPd4Se8.

Properties
formation energy from raw total energies	-2.926	eV per formula unit
symmetry	F-43m (216)
raw total energy	-53.9	eV/f.u.

Cell lengths 7.766, 7.766, 7.766 Å; angles 60.00, 60.00, 60.00 degrees
Fractional coordinates of all 13 atoms:
Tl (0.750, 0.750, 0.750)
Pd (0.887, 0.371, 0.371)
Pd (0.371, 0.887, 0.371)
Pd (0.371, 0.371, 0.887)
Pd (0.371, 0.371, 0.371)
Se (0.580, 0.140, 0.140)
Se (0.140, 0.580, 0.140)
Se (0.140, 0.140, 0.580)
Se (0.140, 0.140, 0.140)
Se (0.187, 0.604, 0.604)
Se (0.604, 0.187, 0.604)
Se (0.604, 0.604, 0.187)
Se (0.604, 0.604, 0.604)



No. 5
The following is a DFT calculation (PBE-GGA) of a relaxed structure of TlPdSe4.

Properties
formation energy from raw total energies	-0.839	eV per formula unit
symmetry	P-1 (2)
raw total energy	-22.3	eV/f.u.

Cell lengths 7.554, 10.010, 9.504 Å; angles 71.80, 136.22, 134.18 degrees
Fractional coordinates of all 12 atoms:
Tl (0.065, 0.526, 0.292)
Tl (0.935, 0.474, 0.708)
Pd (0.753, 0.006, 0.997)
Pd (0.247, 0.994, 0.003)
Se (0.437, 0.417, 0.198)
Se (0.947, 0.833, 0.119)
Se (0.118, 0.858, 0.560)
Se (0.882, 0.142, 0.440)
Se (0.563, 0.583, 0.802)
Se (0.425, 0.123, 0.815)
Se (0.575, 0.877, 0.185)
Se (0.053, 0.167, 0.881)



No. 6
The following is a DFT calculation (PBE-GGA) of a relaxed structure of TlPd2Se3.

Properties
formation energy from raw total energies	-2.305	eV per formula unit
polymorph energy (0 for the lowest one)	5	meV/atom
symmetry	R-3m (166)
raw total energy	-25.5	eV/f.u.

Cell lengths 7.451, 7.451, 7.580 Å; angles 60.56, 60.56, 60.00 degrees
Fractional coordinates of all 12 atoms:
Tl (0.214, 0.214, 0.358)
Tl (0.786, 0.786, 0.642)
Pd (0.000, 0.000, 0.000)
Pd (0.500, 0.000, 0.000)
Pd (0.500, 0.500, 0.000)
Pd (0.000, 0.500, 0.000)
Se (0.238, 0.730, 0.794)
Se (0.730, 0.238, 0.794)
Se (0.238, 0.238, 0.794)
Se (0.270, 0.762, 0.206)
Se (0.762, 0.270, 0.206)
Se (0.762, 0.762, 0.206)



No. 7
The following is a DFT calculation (PBE-GGA) of a relaxed structure of TlPd5Se8.

Properties
formation energy from raw total energies	-3.637	eV per formula unit
symmetry	Cm (8)
raw total energy	-59.8	eV/f.u.

Cell lengths 3.844, 8.625, 9.804 Å; angles 103.79, 101.30, 90.00 degrees
Fractional coordinates of all 14 atoms:
Tl (0.499, 0.500, 0.997)
Pd (0.298, 0.671, 0.596)
Pd (0.702, 0.329, 0.404)
Pd (0.343, 0.024, 0.686)
Pd (0.657, 0.976, 0.314)
Pd (0.000, 0.000, 0.000)
Se (0.234, 0.148, 0.468)
Se (0.766, 0.851, 0.532)
Se (0.171, 0.496, 0.342)
Se (0.830, 0.504, 0.659)
Se (0.087, 0.819, 0.174)
Se (0.913, 0.181, 0.827)
Se (0.432, 0.833, 0.864)
Se (0.568, 0.167, 0.136)



No. 8
The following is a DFT calculation (PBE-GGA) of a relaxed structure of Tl3Pd4Se.

Properties
formation energy from raw total energies	-0.916	eV per formula unit
symmetry	Imm2 (44)
raw total energy	-32.3	eV/f.u.

Cell lengths 6.427, 6.427, 6.427 Å; angles 88.76, 113.79, 128.18 degrees
Fractional coordinates of all 8 atoms:
Tl (0.590, 0.267, 0.857)
Tl (0.912, 0.000, 0.912)
Tl (0.590, 0.733, 0.323)
Pd (0.190, 0.752, 0.942)
Pd (0.190, 0.248, 0.438)
Pd (0.540, 0.243, 0.297)
Pd (0.054, 0.757, 0.297)
Se (0.085, 0.500, 0.585)



No. 9
The following is a DFT calculation (PBE-GGA) of a relaxed structure of Tl2PdSe.

Properties
formation energy from raw total energies	-0.130	eV per formula unit
polymorph energy (0 for the lowest one)	242	meV/atom
symmetry	I-42d (122)
raw total energy	-13.5	eV/f.u.

Cell lengths 7.242, 7.242, 6.803 Å; angles 57.84, 57.84, 90.00 degrees
Fractional coordinates of all 8 atoms:
Tl (0.641, 0.125, 0.250)
Tl (0.109, 0.625, 0.250)
Tl (0.375, 0.359, 0.750)
Tl (0.875, 0.891, 0.750)
Se (0.500, 0.500, 0.000)
Se (0.250, 0.750, 0.500)
Pd (0.000, 0.000, 0.000)
Pd (0.750, 0.250, 0.500)



No. 10
The following is a DFT calculation (PBE-GGA) of a relaxed structure of Tl2PdSe.

Properties
formation energy from raw total energies	-1.099	eV per formula unit
polymorph energy (0 for the lowest one)	0	meV/atom
symmetry	Cm (8)
raw total energy	-14.5	eV/f.u.

Cell lengths 4.322, 4.475, 7.087 Å; angles 71.18, 72.25, 61.12 degrees
Fractional coordinates of all 4 atoms:
Tl (0.894, 0.678, 0.534)
Tl (0.703, 0.468, 0.125)
Pd (0.146, 0.883, 0.826)
Se (0.467, 0.233, 0.832)



No. 11
The following is a DFT calculation (PBE-GGA) of a relaxed structure of Tl5PdSe4.

Properties
formation energy from raw total energies	-2.800	eV per formula unit
symmetry	C2/m (12)
raw total energy	-33.8	eV/f.u.

Cell lengths 4.169, 7.959, 9.322 Å; angles 105.42, 102.92, 90.00 degrees
Fractional coordinates of all 10 atoms:
Tl (0.188, 0.326, 0.376)
Tl (0.162, 0.782, 0.325)
Tl (0.838, 0.218, 0.675)
Tl (0.500, 0.500, 0.000)
Tl (0.812, 0.674, 0.624)
Pd (0.500, 0.000, 0.000)
Se (0.646, 0.037, 0.291)
Se (0.015, 0.216, 0.030)
Se (0.354, 0.963, 0.709)
Se (0.985, 0.784, 0.970)



No. 12
The following is a DFT calculation (PBE-GGA) of a relaxed structure of TlPd2Se2.

Properties
formation energy from raw total energies	-1.273	eV per formula unit
symmetry	C2/c (15)
raw total energy	-21.0	eV/f.u.

Cell lengths 6.462, 6.462, 6.645 Å; angles 103.08, 103.08, 115.06 degrees
Fractional coordinates of all 10 atoms:
Tl (0.149, 0.851, 0.250)
Tl (0.851, 0.149, 0.750)
Pd (0.407, 0.593, 0.250)
Pd (0.753, 0.247, 0.250)
Pd (0.247, 0.753, 0.750)
Pd (0.593, 0.407, 0.750)
Se (0.810, 0.619, 0.530)
Se (0.381, 0.190, 0.970)
Se (0.619, 0.810, 0.030)
Se (0.190, 0.381, 0.470)